# 1
A geometry-optimized HoTmHfMg structure, computed with PBE.

Summary:
- formation energy from the elements (eV per atom) = 0.19
- space-group type = No. 216

Geometry as POSCAR:
```
HoTmHfMg
1.0
-4.5444 1.1125 2.4496
-2.1734 -3.5352 3.2663
-0.0445 0.8919 5.2050
Mg Tm Hf Ho
1 1 1 1
Direct
0.0000 0.0000 0.0000
0.2500 0.2500 0.2500
0.5000 0.5000 0.5000
0.7500 0.7500 0.7500
```

***

# 2
A geometry-optimized HoHf2Mn structure, computed with PBE.

Summary:
- formation energy from the elements (eV per atom) = 0.04
- space-group type = No. 123

Geometry as POSCAR:
```
HoHf2Mn
1.0
-3.1111 0.5370 -0.5435
0.3938 -0.8261 -3.0700
-1.6824 -7.8319 1.8916
Mn Hf Ho
1 2 1
Direct
0.5000 0.5000 0.0000
0.0000 0.0000 0.8178
0.0000 0.0000 0.1822
0.5000 0.5000 0.5000
```

***

# 3
A geometry-optimized Ho2HfMnS6 structure, computed with PBE.

Summary:
- space-group type = No. 146
- E_form (uncorrected) (eV/f.u.) = -15.8

Geometry as POSCAR:
```
Ho2HfMnS6
1.0
6.6417 0.0005 0.0002
3.3212 5.7520 -0.0002
3.3207 1.9175 5.9389
Ho Hf Mn S
2 1 1 6
Direct
0.5169 0.5169 0.4494
0.0206 0.0206 0.9383
0.8221 0.8221 0.5337
0.3157 0.3157 0.0528
0.6004 0.2049 0.2560
0.2048 0.9387 0.2561
0.9387 0.6004 0.2560
0.4502 0.7026 0.7576
0.7025 0.0896 0.7576
0.0897 0.4502 0.7576
```